1.
NaAc2Sb: relaxed, PBE.

Summary:
E_form (uncorrected): -437 meV/atom
D(E_F): 2.43 states/eV/cell
Energy above the most stable polymorph in this dataset: 0 meV per atom

The structure in POSCAR format:
```
NaAc2Sb
1.0
4.5860 0.0000 0.0000
0.0000 5.5107 0.0000
0.0000 0.0000 5.5107
Sb Ac Na
1 2 1
Cartesian
2.2930 2.7554 2.7554
0.0000 0.0000 2.7554
0.0000 2.7554 0.0000
2.2930 0.0000 0.0000
```

=====

2.
Be2GePb2O6: relaxed, PBE.

Summary:
E_form (uncorrected): -1713 meV/atom
D(E_F): 0.00 states/eV/cell

The structure in POSCAR format:
```
Be2GePb2O6
1.0
-3.3622 -2.2397 3.5080
1.7873 -3.6905 3.4369
0.5774 1.7671 5.7618
Be Ge Pb O
2 1 2 6
Cartesian
-0.1842 -1.0134 7.3368
-0.8133 -3.1498 5.3699
0.0000 0.0000 0.0000
-0.8659 -3.5225 9.1617
-0.1316 -0.6407 3.5451
-1.0648 -4.1016 6.5754
0.6279 -2.9740 4.8093
-1.9646 -2.2435 4.8450
0.9671 -1.9196 7.8618
-1.6254 -1.1892 7.8975
0.0673 -0.0616 6.1314
```

=====

3.
Tl12H5Rh3: relaxed, PBE.

Summary:
DFT total energy: -61.74 eV/f.u.
D(E_F): 35.88 states/eV/cell

The structure in POSCAR format:
```
Tl12H5Rh3
1.0
13.0869 0.0000 0.0000
-4.3623 12.3385 0.0000
-4.3623 -6.1692 10.6854
Rh H Tl
12 20 48
Cartesian
7.6340 3.8558 1.3357
7.6340 8.4827 1.3357
-1.0906 5.3981 6.6784
1.0906 -0.7712 4.0070
9.8152 0.0000 2.6714
1.0906 6.1692 2.6714
3.2717 0.0000 8.0141
-5.4529 6.1692 8.0141
3.2717 6.9404 6.6784
5.4529 0.7712 4.0070
-3.2717 -2.3135 9.3497
-3.2717 2.3135 9.3497
-1.0906 3.0846 2.6714
-2.1812 6.1692 0.0000
0.0000 0.0000 0.0000
3.2717 2.3135 1.3357
4.3623 -3.0846 5.3427
4.3623 6.1692 0.0000
-3.2717 6.9404 4.0070
5.4529 -3.8558 9.3497
5.4529 5.3981 4.0070
1.0906 -3.0846 8.0141
3.2717 9.2538 2.6714
2.1812 3.0846 5.3427
6.5435 0.0000 0.0000
-2.1812 -3.0846 5.3427
-1.0906 0.7712 6.6784
-1.0906 10.0250 1.3357
-4.3623 3.0846 5.3427
7.6340 -0.7712 6.6784
1.0906 3.8558 9.3497
5.4529 3.0846 8.0141
8.6886 1.3202 0.3592
0.0360 4.0558 4.3790
9.7687 2.8920 3.0305
5.4994 1.9062 1.3229
1.6516 4.6270 7.2957
9.2751 6.1544 1.9530
-1.0441 7.1551 4.3534
-3.3182 10.4323 1.3229
0.5296 7.7115 7.2957
5.9930 6.1840 1.9530
6.5794 3.4336 4.0198
6.5794 11.0183 0.3592
-3.8327 5.5472 5.7019
2.7316 4.4853 0.9893
-4.3983 8.9049 4.0198
2.2171 -2.1135 6.3064
-0.5296 0.9202 2.3122
2.7316 7.8680 0.9637
5.4994 9.4464 3.0305
-0.5505 4.4705 0.9637
-2.7107 7.0894 8.3732
3.2252 5.1834 4.3534
6.0139 6.7913 5.7019
4.9128 -1.6840 9.6961
1.1371 0.9859 6.3320
-1.6516 -0.6221 4.9835
-0.5505 7.8532 0.9893
-1.1371 -3.2772 7.6549
7.0730 -0.9202 2.3122
4.9128 1.6988 9.7217
1.6307 -1.6988 9.7217
2.1452 8.2827 4.3790
4.8919 5.2490 8.3732
8.7606 -2.7356 6.6656
8.1950 0.6221 4.9835
-2.2171 -4.8491 10.3262
1.6307 1.6840 9.6961
3.8327 -1.5422 3.3897
-1.6307 -0.0148 8.7324
-2.2171 2.7356 6.6656
7.6805 -4.2631 9.3625
5.4064 -0.9859 6.3320
-1.1371 4.2631 9.3625
-4.9128 0.0148 8.7324
2.7107 1.5422 3.3897
-5.4064 3.2772 7.6549
4.3263 2.1134 6.3064
-4.3263 4.8491 10.3262
```

=====

4.
TaCdTe2: relaxed, PBE.

Summary:
E_form (uncorrected): 750 meV/atom
D(E_F): 4.23 states/eV/cell

The structure in POSCAR format:
```
TaCdTe2
1.0
-1.7371 -4.2140 -2.3640
-2.8659 -3.3924 2.5771
-5.0010 -0.4694 -1.0645
Cd Te Ta
1 2 1
Cartesian
-4.8020 -4.0379 -0.4257
0.0000 0.0000 0.0000
-7.2030 -6.0568 -0.6385
-2.4010 -2.0189 -0.2128
```

=====

5.
FeCoW: relaxed, PBE.

Summary:
D(E_F): 3.52 states/eV/cell
Energy relative to the elements: 0.123 eV per atom
Energy above the most stable polymorph in this dataset: 128 meV per atom

The structure in POSCAR format:
```
FeCoW
1.0
5.7837 0.0036 -0.0038
5.1794 2.5734 -0.0030
0.6043 0.1405 2.5660
Co Fe W
1 1 1
Cartesian
10.8738 2.5561 0.0154
4.1854 0.9829 1.6766
7.4712 1.7557 0.8605
```

=====

6.
Cs2Rb3Cd4: relaxed, PBE.

Summary:
D(E_F): 5.43 states/eV/cell
Energy relative to the elements: -0.039 eV per atom
Energy above the most stable polymorph in this dataset: 0 meV per atom

The structure in POSCAR format:
```
Cs2Rb3Cd4
1.0
-1.2546 4.5735 2.6083
-9.4996 -0.1671 1.3561
-11.1526 -5.5058 9.8780
Cs Rb Cd
2 3 4
Cartesian
-7.1767 1.4862 5.1719
-14.7301 -2.5855 8.6705
-9.6646 -1.2854 8.8236
0.0000 0.0000 0.0000
-12.2423 0.1860 5.0188
-5.6862 0.8722 1.3619
-12.7942 1.0799 8.8022
-9.1126 -2.1792 5.0403
-16.2206 -1.9716 12.4805
```

=====

7.
ZrNbBi: relaxed, PBE.

Summary:
D(E_F): 7.11 states/eV/cell
Energy relative to the elements: -0.097 eV per atom

The structure in POSCAR format:
```
ZrNbBi
1.0
-5.7953 -1.5496 -0.1061
1.1489 -4.4021 1.5370
1.6696 3.5101 8.8052
Nb Bi Zr
4 4 4
Cartesian
-2.5710 1.7953 7.0639
-2.8313 -2.1607 3.4298
-4.7617 -0.9470 0.8471
-3.3524 -1.3930 6.0182
-2.3720 0.8329 4.1587
-0.9628 0.3869 9.3298
0.4127 2.4072 6.5860
0.1524 -1.5488 2.9519
0.6274 1.4409 3.6580
2.0367 0.9950 8.8291
-1.9405 -0.1230 1.0984
-0.5312 -0.5689 6.2695
```

=====

8.
Cs2CaVSe4: relaxed, PBE.

Summary:
E_form (uncorrected): -1141 meV/atom
D(E_F): 7.65 states/eV/cell

The structure in POSCAR format:
```
Cs2CaVSe4
1.0
-5.0086 -3.9871 -1.6919
1.3612 -7.8433 1.4962
-7.7104 -0.5886 11.2548
Cs Ca V Se
4 2 2 8
Cartesian
-5.8413 -1.0930 6.9103
-6.8778 -3.4827 2.6526
-8.8002 -6.7018 9.4511
-5.0619 -7.7107 0.7620
-6.9311 -7.2063 5.1066
0.0000 0.0000 0.0000
-4.4268 -5.2127 5.9525
-2.5043 -1.9935 -0.8460
-1.4206 -7.7751 1.7855
-7.9378 -3.0522 9.9490
-10.0579 -10.2448 9.8720
-3.2994 -3.7659 0.5117
-4.1494 -7.2745 4.8173
-6.7037 -4.7426 6.4124
-8.2310 -9.3805 6.2937
-3.6317 -3.4404 4.5949
```

=====

9.
ZnRe2W: relaxed, PBE.

Summary:
D(E_F): 2.81 states/eV/cell
Energy relative to the elements: 0.237 eV per atom

The structure in POSCAR format:
```
ZnRe2W
1.0
5.1343 0.0014 -0.0001
2.2703 4.6050 0.0001
-3.2307 -3.0613 2.5597
Re W Zn
2 1 1
Cartesian
7.3478 4.5711 0.0000
3.7591 2.3385 0.0000
2.8030 -0.3784 1.2798
1.3710 1.9235 1.2799
```

=====

10.
Na2SmTiSe4: relaxed, PBE.

Summary:
E_form (uncorrected): -1377 meV/atom
D(E_F): 4.15 states/eV/cell

The structure in POSCAR format:
```
Na2SmTiSe4
1.0
4.0051 0.0000 0.0000
0.0000 6.9610 0.1063
0.0000 -2.4258 6.9904
Na Sm Ti Se
2 1 1 4
Cartesian
2.0026 -1.2129 3.4952
0.0000 2.2676 3.5484
0.0000 0.0000 0.0000
2.0026 3.4805 0.0532
2.0026 1.2979 1.6304
2.0026 3.2373 5.4663
0.0000 0.0650 5.5085
0.0000 4.4702 1.5883
```

=====

11.
TmLuCoTc: relaxed, PBE.

Summary:
D(E_F): 6.57 states/eV/cell
Energy relative to the elements: -0.048 eV per atom

The structure in POSCAR format:
```
TmLuCoTc
1.0
4.7098 0.0000 0.0000
2.3549 4.0788 0.0000
2.3549 1.3596 3.8456
Co Lu Tm Tc
1 1 1 1
Cartesian
2.3549 1.3596 0.9614
0.0000 0.0000 0.0000
4.7098 2.7192 1.9228
7.0648 4.0788 2.8842
```

=====

12.
Ce2H4Br3: relaxed, PBE.

Summary:
DFT total energy: -38.58 eV/f.u.
D(E_F): 11.35 states/eV/cell

The structure in POSCAR format:
```
Ce2H4Br3
1.0
3.8392 0.0003 0.0001
1.9192 4.9312 0.5460
1.9191 2.6970 8.2867
Ce H Br
2 4 3
Cartesian
3.8390 2.5467 1.9950
3.8386 5.0818 6.8379
1.9194 2.1920 0.7863
5.7583 4.5141 6.0367
1.9193 3.1144 2.7962
5.7582 5.4364 8.0466
3.8388 2.3389 5.2737
0.0000 0.0000 0.0000
3.8388 5.2896 3.5591
```

=====

13.
IrC2: relaxed, PBE.

Summary:
D(E_F): 2.94 states/eV/cell
Energy relative to the elements: 0.691 eV per atom
Energy above the most stable polymorph in this dataset: 102 meV per atom

The structure in POSCAR format:
```
IrC2
1.0
-1.3351 1.3351 7.9638
1.3351 -1.3351 7.9638
1.3351 1.3351 -7.9638
Ir C
2 4
Cartesian
0.0000 0.0000 0.0000
0.0000 1.3351 3.9819
0.0000 0.0000 10.3265
1.3351 0.0000 1.6191
0.0000 0.0000 5.6010
1.3351 0.0000 6.3446
```

=====

14.
Sc6HgRh5: relaxed, PBE.

Summary:
D(E_F): 6.91 states/eV/cell
Energy relative to the elements: -0.874 eV per atom

The structure in POSCAR format:
```
Sc6HgRh5
1.0
0.5599 2.8739 -3.6372
5.8544 -2.5197 -1.0896
-6.0633 -4.9816 -1.8726
Sc Rh Hg
6 5 1
Cartesian
-0.1592 -2.3297 -4.8624
-3.0259 -1.0959 -4.3289
4.5953 -0.4203 -2.6217
1.8190 0.7746 -2.1050
3.3769 -3.5314 -2.2704
0.5102 -2.2976 -1.7369
-0.6739 -0.1676 -3.2332
-1.9088 -3.2109 -2.8309
2.9272 -1.2598 -0.5448
2.2598 -1.4165 -3.7684
1.0249 -4.4598 -3.3661
0.0000 0.0000 0.0000
```

=====

15.
CeTlC: relaxed, PBE.

Summary:
D(E_F): 3.34 states/eV/cell
Energy relative to the elements: 0.028 eV per atom
Energy above the most stable polymorph in this dataset: 243 meV per atom

The structure in POSCAR format:
```
CeTlC
1.0
-0.4553 -0.0995 3.5170
2.9746 -1.9048 0.3312
4.6675 10.4381 -0.8900
C Ce Tl
2 2 2
Cartesian
3.5137 5.5937 0.6130
3.6732 2.8400 2.3452
2.2626 3.6020 0.3948
4.9243 4.8318 2.5634
2.1214 0.3697 2.0744
5.0654 8.0640 0.8838
```

=====

16.
HoZr5Zn6: relaxed, PBE.

Summary:
D(E_F): 11.02 states/eV/cell
Energy relative to the elements: -0.266 eV per atom

The structure in POSCAR format:
```
HoZr5Zn6
1.0
-4.7377 0.3402 0.3921
-0.7344 -4.6717 -4.8209
2.7787 -2.9702 7.1850
Zn Ho Zr
6 1 5
Cartesian
-2.5218 -4.3822 2.2989
-2.1596 -2.0791 4.6756
-2.9143 -3.2991 -3.3840
-2.5579 -1.0324 -1.0449
-0.5339 -5.2226 -1.9194
-0.1717 -2.9195 0.4572
0.0000 0.0000 0.0000
-2.3547 -1.5444 1.8553
0.0284 -3.4221 3.3118
-0.3672 -2.3358 -2.4104
-2.7219 -3.8797 -0.5557
-0.3389 -5.7573 0.9008
```

=====

17.
PmNdInSi: relaxed, PBE.

Summary:
E_form (uncorrected): -385 meV/atom
D(E_F): 2.55 states/eV/cell

The structure in POSCAR format:
```
PmNdInSi
1.0
5.3045 0.0000 0.0000
2.6523 4.5939 0.0000
2.6523 1.5313 4.3311
Si In Nd Pm
1 1 1 1
Cartesian
7.9568 4.5939 3.2483
2.6523 1.5313 1.0828
5.3045 3.0626 2.1656
0.0000 0.0000 0.0000
```

=====

18.
Tb2CdPdO5: relaxed, PBE.

Summary:
E_form (uncorrected): -2089 meV/atom

The structure in POSCAR format:
```
Tb2CdPdO5
1.0
5.7743 0.0000 0.0000
0.0000 6.5281 0.0000
0.0000 0.0000 6.5281
Tb Cd Pd O
4 2 2 10
Cartesian
2.8871 4.3879 1.1239
2.8871 1.1239 2.1401
2.8871 5.4042 4.3879
2.8871 2.1401 5.4042
0.0000 3.2640 3.2640
0.0000 0.0000 0.0000
0.0000 0.0000 3.2640
0.0000 3.2640 0.0000
2.8871 3.2640 3.2640
2.8871 0.0000 0.0000
1.4787 0.9419 4.2059
1.4787 5.5862 2.3221
1.4787 2.3221 0.9419
1.4787 4.2059 5.5862
4.2956 0.9419 4.2059
4.2956 4.2059 5.5862
4.2956 5.5862 2.3221
4.2956 2.3221 0.9419
```

=====

19.
BaLa2Sc2: relaxed, PBE.

Summary:
D(E_F): 10.21 states/eV/cell
Energy relative to the elements: 0.172 eV per atom
Energy above the most stable polymorph in this dataset: 0 meV per atom

The structure in POSCAR format:
```
BaLa2Sc2
1.0
-3.0383 -4.1035 -8.4614
-5.1095 -6.7446 5.1057
-2.8779 2.1669 -0.0175
Sc Ba La
4 2 4
Cartesian
-5.7036 -7.5647 1.2560
-5.8282 -7.7757 -4.3682
-2.4442 -3.2834 -4.6117
-2.3196 -3.0725 1.0125
0.0000 0.0000 0.0000
-4.0739 -5.4241 -1.6779
-5.4100 -4.1745 1.9608
-7.7076 -7.2538 -1.4920
-5.6157 -4.5067 -5.3340
-3.3181 -1.4274 -1.8812
```

=====

20.
Pr2Ho2Th3: relaxed, PBE.

Summary:
D(E_F): 11.11 states/eV/cell
Energy relative to the elements: 0.073 eV per atom

The structure in POSCAR format:
```
Pr2Ho2Th3
1.0
3.5292 0.0000 -0.4258
0.0000 3.5632 0.0000
0.4487 0.0000 18.5571
Pr Ho Th
2 2 3
Cartesian
1.2954 1.7816 10.7361
2.6826 1.7816 7.3952
0.6016 0.0000 4.9859
3.3764 0.0000 13.1454
1.9114 1.7816 15.8418
2.0665 1.7816 2.2895
0.0000 0.0000 0.0000
```

=====

21.
CaTe2Pt: relaxed, PBE.

Summary:
E_form (uncorrected): -239 meV/atom
D(E_F): 4.52 states/eV/cell
Energy above the most stable polymorph in this dataset: 620 meV per atom

The structure in POSCAR format:
```
CaTe2Pt
1.0
-3.0157 0.4051 4.2084
-4.1879 -3.0308 0.4950
-0.0492 -3.8038 3.5352
Ca Te Pt
1 2 1
Cartesian
-3.6263 -3.2148 4.1193
0.0000 0.0000 0.0000
-1.8132 -1.6074 2.0596
-5.4395 -4.8221 6.1789
```

=====

| no. | V (Å³ per cell) |
| --- | --- |
| 1 | 139.3 |
| 2 | 129.1 |
| 3 | 1725.4 |
| 4 | 95.7 |
| 5 | 38.1 |
| 6 | 484.3 |
| 7 | 266.4 |
| 8 | 648.5 |
| 9 | 60.5 |
| 10 | 195.9 |
| 11 | 73.9 |
| 12 | 151.2 |
| 13 | 56.8 |
| 14 | 211.7 |
| 15 | 140.9 |
| 16 | 230.0 |
| 17 | 105.5 |
| 18 | 246.1 |
| 19 | 351.8 |
| 20 | 234.0 |
| 21 | 99.0 |